Computed, not measured: a geometry-optimized Th2NpAu structure at the PBE level of DFT.

a = 3.7652 Å, b = 3.7652 Å, c = 7.4990 Å
α = 90.00°, β = 90.00°, γ = 90.00°
Space group P4/mmm (No. 123)
One atom of each set of equivalent atoms:
1 Th 0.0000 0.0000 0.2423 [2 per cell]
2 Np 0.5000 0.5000 0.5000 [1 per cell]
3 Au 0.5000 0.5000 0.0000 [1 per cell]

- spin magnetization (μB/cell) = 4.4
- polymorph energy (0 for the lowest one) (kJ per mole of atoms) = 8.1
- formation enthalpy at 0 K (eV/atom) = -0.014
- uncorrected energy (eV for the cell shown) = -31.11
- V (Å³/atom) = 26.58



Computed, not measured: a geometry-optimized ThNpAu2 structure at the PBE level of DFT.

a = 3.3286 Å, b = 3.3286 Å, c = 8.6356 Å
α = 90.00°, β = 90.00°, γ = 90.00°
Space group P4/mmm (No. 123)
One atom of each set of equivalent atoms:
1 Th 0.0000 0.0000 0.0000 [1 per cell]
2 Np 0.0000 0.0000 0.5000 [1 per cell]
3 Au 0.5000 0.5000 0.2539 [2 per cell]

- spin magnetization (μB/cell) = 4.6
- formation enthalpy at 0 K (eV/atom) = -0.254
- uncorrected energy (eV for the cell shown) = -27.93
- V (Å³/atom) = 23.92



Computed, not measured: a geometry-optimized ThNpAu structure at the PBE level of DFT.

a = 10.1207 Å, b = 4.9532 Å, c = 7.4367 Å
α = 90.00°, β = 128.74°, γ = 90.00°
Space group C2/m (No. 12)
One atom of each set of equivalent atoms:
1 Th 0.0656 0.0000 0.3058 [4 per cell]
2 Np 0.1002 0.5000 0.7009 [4 per cell]
3 Au 0.1785 0.5000 0.1551 [4 per cell]

- spin magnetization (μB/cell) = 8.6
- formation enthalpy at 0 K (eV/atom) = -0.122
- uncorrected energy (eV for the cell shown) = -96.02
- V (Å³/atom) = 24.23



Computed, not measured: a geometry-optimized Th2NpAu structure at the PBE level of DFT.

a = 5.4900 Å, b = 5.4900 Å, c = 3.4307 Å
α = 90.00°, β = 90.00°, γ = 90.00°
Space group P4/mmm (No. 123)
One atom of each set of equivalent atoms:
1 Th 0.0000 0.5000 0.0000 [2 per cell]
2 Np 0.0000 0.0000 0.5000 [1 per cell]
3 Au 0.5000 0.5000 0.5000 [1 per cell]

- spin magnetization (μB/cell) = 4.4
- polymorph energy (0 for the lowest one) (kJ per mole of atoms) = 0.0
- formation enthalpy at 0 K (eV/atom) = -0.098
- uncorrected energy (eV for the cell shown) = -31.45
- V (Å³/atom) = 25.85



Computed, not measured: a geometry-optimized NpTiAu2 structure at the PBE level of DFT.

a = 3.0818 Å, b = 3.0818 Å, c = 8.2328 Å
α = 90.00°, β = 90.00°, γ = 90.00°
Space group P4/mmm (No. 123)
One atom of each set of equivalent atoms:
1 Np 0.0000 0.0000 0.0000 [1 per cell]
2 Ti 0.0000 0.0000 0.5000 [1 per cell]
3 Au 0.5000 0.5000 0.2840 [2 per cell]

- spin magnetization (μB/cell) = 5.5
- formation enthalpy at 0 K (eV/atom) = -0.198
- uncorrected energy (eV for the cell shown) = -28.18
- V (Å³/atom) = 19.55



Computed, not measured: a geometry-optimized NpTiAu structure at the PBE level of DFT.

a = 3.5629 Å, b = 3.5629 Å, c = 8.5827 Å
α = 90.00°, β = 90.00°, γ = 90.00°
Space group P4/nmm (No. 129, origin choice 2)
One atom of each set of equivalent atoms:
1 Np 0.2500 0.7500 0.0000 [2 per cell]
2 Ti 0.2500 0.2500 0.2641 [2 per cell]
3 Au 0.2500 0.2500 0.5990 [2 per cell]

- spin magnetization (μB/cell) = 0.0
- formation enthalpy at 0 K (eV/atom) = 0.145
- uncorrected energy (eV for the cell shown) = -47.36
- V (Å³/atom) = 18.16



Computed, not measured: a geometry-optimized NpTlAu2 structure at the PBE level of DFT.

a = 3.3246 Å, b = 3.3246 Å, c = 8.3904 Å
α = 90.00°, β = 90.00°, γ = 90.00°
Space group P4/mmm (No. 123)
One atom of each set of equivalent atoms:
1 Np 0.0000 0.0000 0.0000 [1 per cell]
2 Tl 0.0000 0.0000 0.5000 [1 per cell]
3 Au 0.5000 0.5000 0.2409 [2 per cell]

- spin magnetization (μB/cell) = 4.4
- formation enthalpy at 0 K (eV/atom) = -0.036
- uncorrected energy (eV for the cell shown) = -22.00
- V (Å³/atom) = 23.18



Computed, not measured: a geometry-optimized NpTlAu4 structure at the PBE level of DFT.

a = 8.0268 Å, b = 8.0268 Å, c = 8.0268 Å
α = 90.00°, β = 90.00°, γ = 90.00°
Space group F-43m (No. 216)
One atom of each set of equivalent atoms:
1 Np 0.0000 0.0000 0.0000 [4 per cell]
2 Tl 0.2500 0.2500 0.2500 [4 per cell]
3 Au 0.1250 0.1250 0.6250 [16 per cell]

- spin magnetization (μB/cell) = 17.4
- formation enthalpy at 0 K (eV/atom) = -0.059
- uncorrected energy (eV for the cell shown) = -115.07
- V (Å³/atom) = 21.55



Computed, not measured: a geometry-optimized NpTlAu2 structure at the PBE level of DFT.

a = 4.9367 Å, b = 4.9367 Å, c = 3.8800 Å
α = 90.00°, β = 90.00°, γ = 90.00°
Space group P4/mmm (No. 123)
One atom of each set of equivalent atoms:
1 Np 0.0000 0.0000 0.0000 [1 per cell]
2 Tl 0.5000 0.5000 0.0000 [1 per cell]
3 Au 0.0000 0.5000 0.5000 [2 per cell]

- spin magnetization (μB/cell) = 4.5
- formation enthalpy at 0 K (eV/atom) = 0.031
- uncorrected energy (eV for the cell shown) = -21.74
- V (Å³/atom) = 23.64



Computed, not measured: a geometry-optimized TmNpAu4 structure at the PBE level of DFT.

a = 3.7258 Å, b = 3.7258 Å, c = 9.2274 Å
α = 90.00°, β = 90.00°, γ = 90.00°
Space group P4/mmm (No. 123)
One atom of each set of equivalent atoms:
1 Tm 0.0000 0.0000 0.0000 [1 per cell]
2 Np 0.5000 0.5000 0.5000 [1 per cell]
3 Au 0.0000 0.0000 0.3257 [2 per cell]
4 Au 0.5000 0.5000 0.1595 [2 per cell]

- spin magnetization (μB/cell) = 4.1
- formation enthalpy at 0 K (eV/atom) = -0.512
- uncorrected energy (eV for the cell shown) = -33.60
- V (Å³/atom) = 21.35



Computed, not measured: a geometry-optimized TmNpAu2 structure at the PBE level of DFT.

a = 3.4665 Å, b = 3.4665 Å, c = 7.5955 Å
α = 90.00°, β = 90.00°, γ = 90.00°
Space group P4/mmm (No. 123)
One atom of each set of equivalent atoms:
1 Tm 0.0000 0.0000 0.0000 [1 per cell]
2 Np 0.0000 0.0000 0.5000 [1 per cell]
3 Au 0.5000 0.5000 0.2307 [2 per cell]

- spin magnetization (μB/cell) = 4.5
- polymorph energy (0 for the lowest one) (kJ per mole of atoms) = 0.0
- formation enthalpy at 0 K (eV/atom) = -0.431
- uncorrected energy (eV for the cell shown) = -25.69
- V (Å³/atom) = 22.82



Computed, not measured: a geometry-optimized NpUAu4 structure at the PBE level of DFT.

a = 2.9965 Å, b = 4.8950 Å, c = 8.4936 Å
α = 90.00°, β = 90.00°, γ = 90.00°
Space group Pmmm (No. 47)
One atom of each set of equivalent atoms:
1 Np 0.0000 0.0000 0.0000 [1 per cell]
2 U 0.0000 0.5000 0.5000 [1 per cell]
3 Au 0.5000 0.0000 0.3339 [2 per cell]
4 Au 0.5000 0.5000 0.1674 [2 per cell]

- spin magnetization (μB/cell) = 6.9
- polymorph energy (0 for the lowest one) (kJ per mole of atoms) = 0.0
- formation enthalpy at 0 K (eV/atom) = -0.255
- uncorrected energy (eV for the cell shown) = -38.87
- V (Å³/atom) = 20.76



Computed, not measured: a geometry-optimized NpUAu4 structure at the PBE level of DFT.

a = 7.9922 Å, b = 7.9922 Å, c = 7.9922 Å
α = 90.00°, β = 90.00°, γ = 90.00°
Space group F-43m (No. 216)
One atom of each set of equivalent atoms:
1 Np 0.0000 0.0000 0.0000 [4 per cell]
2 U 0.2500 0.2500 0.2500 [4 per cell]
3 Au 0.1250 0.1250 0.6250 [16 per cell]

- spin magnetization (μB/cell) = 32.4
- polymorph energy (0 for the lowest one) (kJ per mole of atoms) = 26.3
- formation enthalpy at 0 K (eV/atom) = 0.018
- uncorrected energy (eV for the cell shown) = -148.92
- V (Å³/atom) = 21.27



Computed, not measured: a geometry-optimized Np2UAu6 structure at the PBE level of DFT.

a = 8.5000 Å, b = 8.5000 Å, c = 8.9925 Å
α = 90.00°, β = 90.00°, γ = 120.00°
Space group R-3m (No. 166, hexagonal axes)
One atom of each set of equivalent atoms:
1 Np 0.0000 0.0000 0.1701 [6 per cell]
2 U 0.0000 0.0000 0.5000 [3 per cell]
3 Au 0.0000 0.3330 0.0000 [18 per cell]

- spin magnetization (μB/cell) = 34.3
- formation enthalpy at 0 K (eV/atom) = -0.254
- uncorrected energy (eV for the cell shown) = -177.35
- V (Å³/atom) = 20.84



Computed, not measured: a geometry-optimized NpUAu structure at the PBE level of DFT.

a = 5.4227 Å, b = 7.8619 Å, c = 11.5528 Å
α = 90.00°, β = 90.00°, γ = 90.00°
Space group Fmmm (No. 69)
One atom of each set of equivalent atoms:
1 Np 0.0000 0.0000 0.1331 [8 per cell]
2 U 0.2500 0.2500 0.2500 [8 per cell]
3 Au 0.0000 0.1716 0.5000 [8 per cell]

- spin magnetization (μB/cell) = 20.7
- formation enthalpy at 0 K (eV/atom) = 0.280
- uncorrected energy (eV for the cell shown) = -213.32
- V (Å³/atom) = 20.52



Computed, not measured: a geometry-optimized YNpAu2 structure at the PBE level of DFT.

a = 3.5462 Å, b = 3.5462 Å, c = 7.4689 Å
α = 90.00°, β = 90.00°, γ = 90.00°
Space group P4/mmm (No. 123)
One atom of each set of equivalent atoms:
1 Y 0.0000 0.0000 0.0000 [1 per cell]
2 Np 0.0000 0.0000 0.5000 [1 per cell]
3 Au 0.5000 0.5000 0.2387 [2 per cell]

- spin magnetization (μB/cell) = 4.5
- polymorph energy (0 for the lowest one) (kJ per mole of atoms) = 0.0
- formation enthalpy at 0 K (eV/atom) = -0.407
- uncorrected energy (eV for the cell shown) = -27.59
- V (Å³/atom) = 23.48



Computed, not measured: a geometry-optimized YNpAu4 structure at the PBE level of DFT.

a = 3.7588 Å, b = 3.7588 Å, c = 9.2397 Å
α = 90.00°, β = 90.00°, γ = 90.00°
Space group P4/mmm (No. 123)
One atom of each set of equivalent atoms:
1 Y 0.0000 0.0000 0.0000 [1 per cell]
2 Np 0.5000 0.5000 0.5000 [1 per cell]
3 Au 0.0000 0.0000 0.3295 [2 per cell]
4 Au 0.5000 0.5000 0.1626 [2 per cell]

- spin magnetization (μB/cell) = 4.1
- formation enthalpy at 0 K (eV/atom) = -0.503
- uncorrected energy (eV for the cell shown) = -35.53
- V (Å³/atom) = 21.76



Computed, not measured: a geometry-optimized NpZn12Au6 structure at the PBE level of DFT.

a = 11.5644 Å, b = 11.5644 Å, c = 8.8375 Å
α = 90.00°, β = 90.00°, γ = 120.00°
Space group R-3m (No. 166, hexagonal axes)
One atom of each set of equivalent atoms:
1 Np 0.0000 0.0000 0.0000 [3 per cell]
2 Zn 0.0000 0.3918 0.5000 [18 per cell]
3 Zn 0.0818 0.1635 0.3006 [18 per cell]
4 Au 0.0484 0.5242 0.2384 [18 per cell]

- spin magnetization (μB/cell) = 14.6
- formation enthalpy at 0 K (eV/atom) = -0.112
- uncorrected energy (eV for the cell shown) = -150.06
- V (Å³/atom) = 17.96



Computed, not measured: a geometry-optimized NpZn2Au structure at the PBE level of DFT.

a = 2.8675 Å, b = 2.8675 Å, c = 29.7281 Å
α = 90.00°, β = 90.00°, γ = 120.00°
Space group R-3m (No. 166, hexagonal axes)
One atom of each set of equivalent atoms:
1 Np 0.0000 0.0000 0.0000 [3 per cell]
2 Zn 0.0000 0.0000 0.2442 [6 per cell]
3 Au 0.0000 0.0000 0.5000 [3 per cell]

- spin magnetization (μB/cell) = 9.4
- formation enthalpy at 0 K (eV/atom) = -0.003
- uncorrected energy (eV for the cell shown) = -56.33
- V (Å³/atom) = 17.64



Computed, not measured: a geometry-optimized NpZn4Au4 structure at the PBE level of DFT.

a = 8.4222 Å, b = 8.4222 Å, c = 4.8291 Å
α = 90.00°, β = 90.00°, γ = 90.00°
Space group I4/m (No. 87)
One atom of each set of equivalent atoms:
1 Np 0.0000 0.0000 0.0000 [2 per cell]
2 Zn 0.1132 0.2219 0.5000 [8 per cell]
3 Au 0.0820 0.3485 0.0000 [8 per cell]

- spin magnetization (μB/cell) = 8.6
- formation enthalpy at 0 K (eV/atom) = -0.070
- uncorrected energy (eV for the cell shown) = -63.55
- V (Å³/atom) = 19.03



Computed, not measured: a geometry-optimized NpZnAu3 structure at the PBE level of DFT.

a = 4.5071 Å, b = 4.4523 Å, c = 9.7015 Å
α = 90.00°, β = 103.41°, γ = 90.00°
Space group P2_1/m (No. 11)
One atom of each set of equivalent atoms:
1 Np 0.0451 0.2500 0.0909 [2 per cell]
2 Zn 0.2508 0.2500 0.5014 [2 per cell]
3 Au 0.1624 0.7500 0.3246 [2 per cell]
4 Au 0.3313 0.7500 0.6628 [2 per cell]
5 Au 0.4353 0.2500 0.8706 [2 per cell]

- spin magnetization (μB/cell) = 7.8
- formation enthalpy at 0 K (eV/atom) = -0.145
- uncorrected energy (eV for the cell shown) = -49.55
- V (Å³/atom) = 18.94



Computed, not measured: a geometry-optimized NpZn2Au structure at the PBE level of DFT.

a = 6.7368 Å, b = 6.7368 Å, c = 6.7368 Å
α = 90.00°, β = 90.00°, γ = 90.00°
Space group Fm-3m (No. 225)
One atom of each set of equivalent atoms:
1 Np 0.0000 0.0000 0.0000 [4 per cell]
2 Zn 0.2500 0.2500 0.2500 [8 per cell]
3 Au 0.0000 0.0000 0.5000 [4 per cell]

- spin magnetization (μB/cell) = 16.3
- formation enthalpy at 0 K (eV/atom) = 0.059
- uncorrected energy (eV for the cell shown) = -74.13
- V (Å³/atom) = 19.11



Computed, not measured: a geometry-optimized NpZn2Au8 structure at the PBE level of DFT.

a = 8.1434 Å, b = 12.6590 Å, c = 4.7253 Å
α = 90.00°, β = 117.84°, γ = 90.00°
Space group C2/m (No. 12)
One atom of each set of equivalent atoms:
1 Np 0.0000 0.0000 0.0000 [2 per cell]
2 Zn 0.0000 0.3196 0.5000 [4 per cell]
3 Au 0.0000 0.2328 0.0000 [4 per cell]
4 Au 0.1005 0.5000 0.8280 [4 per cell]
5 Au 0.1975 0.1282 0.6293 [8 per cell]

- spin magnetization (μB/cell) = 8.0
- polymorph energy (0 for the lowest one) (kJ per mole of atoms) = 4.3
- formation enthalpy at 0 K (eV/atom) = -0.088
- uncorrected energy (eV for the cell shown) = -85.35
- V (Å³/atom) = 19.58



Computed, not measured: a geometry-optimized NpZn2Au8 structure at the PBE level of DFT.

a = 14.3508 Å, b = 4.2880 Å, c = 7.3378 Å
α = 90.00°, β = 113.83°, γ = 90.00°
Space group C2/m (No. 12)
One atom of each set of equivalent atoms:
1 Np 0.0000 0.0000 0.0000 [2 per cell]
2 Zn 0.2247 0.5000 0.6875 [4 per cell]
3 Au 0.0436 0.5000 0.7279 [4 per cell]
4 Au 0.1024 0.0000 0.4716 [4 per cell]
5 Au 0.1571 0.5000 0.2708 [4 per cell]
6 Au 0.1856 0.0000 0.9015 [4 per cell]

- spin magnetization (μB/cell) = 8.3
- polymorph energy (0 for the lowest one) (kJ per mole of atoms) = 0.0
- formation enthalpy at 0 K (eV/atom) = -0.132
- uncorrected energy (eV for the cell shown) = -86.32
- V (Å³/atom) = 18.77



Computed, not measured: a geometry-optimized NpZn2Au structure at the PBE level of DFT.

a = 2.9594 Å, b = 2.9594 Å, c = 8.2946 Å
α = 90.00°, β = 90.00°, γ = 90.00°
Space group P4/mmm (No. 123)
One atom of each set of equivalent atoms:
1 Np 0.0000 0.0000 0.0000 [1 per cell]
2 Zn 0.5000 0.5000 0.2807 [2 per cell]
3 Au 0.0000 0.0000 0.5000 [1 per cell]

- spin magnetization (μB/cell) = 4.2
- formation enthalpy at 0 K (eV/atom) = -0.017
- uncorrected energy (eV for the cell shown) = -18.84
- V (Å³/atom) = 18.16



Computed, not measured: a geometry-optimized NpZn9Au2 structure at the PBE level of DFT.

a = 8.8775 Å, b = 8.8775 Å, c = 2.9632 Å
α = 90.00°, β = 90.00°, γ = 120.00°
Space group P6/mmm (No. 191)
One atom of each set of equivalent atoms:
1 Np 0.0000 0.0000 0.0000 [1 per cell]
2 Zn 0.0000 0.5000 0.0000 [3 per cell]
3 Zn 0.1793 0.3585 0.5000 [6 per cell]
4 Au 0.3333 0.6667 0.0000 [2 per cell]

- spin magnetization (μB/cell) = 4.1
- polymorph energy (0 for the lowest one) (kJ per mole of atoms) = 4.9
- formation enthalpy at 0 K (eV/atom) = -0.075
- uncorrected energy (eV for the cell shown) = -31.86
- V (Å³/atom) = 16.85